The following is a DFT calculation (PBEsol) of a relaxed structure of BeCrAs3.

It has space group Pm-3m (No. 221), with a = 4.5651 Å, b = 4.5651 Å, c = 4.5651 Å, α = 90.00°, β = 90.00° and γ = 90.00°. Symmetry generates all atoms from Be at (0.0000, 0.0000, 0.0000), Cr at (0.5000, 0.5000, 0.5000) and As at (0.0000, 0.5000, 0.5000).

The calculated volume comes out at 95 Å³/f.u. For the total energy, the calculation gives -25.8 eV per cell. Its formation energy is 762 meV per atom.



The following is a DFT calculation (PBEsol) of a relaxed structure of Ag7AsSe6.

It has space group P2_13 (No. 198), with a = 10.6883 Å, b = 10.6883 Å, c = 10.6883 Å, α = 90.00°, β = 90.00° and γ = 90.00°. Symmetry generates all atoms from Ag at (0.0103, 0.4878, 0.7843), Ag at (0.0741, 0.6041, 0.2269), Ag at (0.1610, 0.8390, 0.3390), As at (0.2488, 0.7488, 0.7512), Se at (0.0259, 0.9741, 0.4741), Se at (0.1130, 0.6345, 0.6218), Se at (0.1230, 0.1230, 0.1230) and Se at (0.2050, 0.2950, 0.7050).

The calculated volume comes out at 305 Å³/f.u. For the total energy, the calculation gives -207.7 eV per cell.



The following is a DFT calculation (PBEsol) of a relaxed structure of TaAlCd.

It has space group Imm2 (No. 44), with a = 2.8402 Å, b = 3.6111 Å, c = 10.3283 Å, α = 90.00°, β = 90.00° and γ = 90.00°. Symmetry generates all atoms from Ta at (0.0000, 0.0000, 0.0000), Al at (0.0000, 0.0000, 0.6469) and Cd at (0.0000, 0.0000, 0.3137).

The calculated volume comes out at 53 Å³/f.u. Its offset from the most stable computed form is 0.09 eV/f.u. For the total energy, the calculation gives -34.5 eV per cell. Its formation energy is 202 meV per atom.



The following is a DFT calculation (PBEsol) of a relaxed structure of AgSb2Br.

It has space group R3m (No. 160, hexagonal axes), with a = 4.0907 Å, b = 4.0907 Å, c = 22.4882 Å, α = 90.00°, β = 90.00° and γ = 120.00°. Symmetry generates all atoms from Ag at (0.0000, 0.0000, 0.0000), Sb at (0.0000, 0.0000, 0.2512), Sb at (0.0000, 0.0000, 0.5097) and Br at (0.0000, 0.0000, 0.7275).

The calculated volume comes out at 109 Å³/f.u. Its offset from the most stable computed form is 0.00 eV/f.u. For the total energy, the calculation gives -44.1 eV per cell.



Computed Fermi-level density of states, in the same sequence as the records: 3.94, 4.30, 1.71, 0.28 states/eV/f.u..